# AgSbN2, optimized geometry, DFT PBE
data_AgSbN2
_chemical_formula_sum 'Ag4 Sb4 N8'
_symmetry_space_group_name_H-M 'I -4 2 d'
_symmetry_Int_Tables_number 122
_symmetry_space_group_name_Hall 'I -4 2bw'
_cell_length_a 5.2709
_cell_length_b 5.2709
_cell_length_c 9.1987
_cell_angle_alpha 90.00
_cell_angle_beta 90.00
_cell_angle_gamma 90.00
loop_
_atom_site_label
_atom_site_fract_x
_atom_site_fract_y
_atom_site_fract_z
_atom_site_occupancy
Ag1 0.0000 0.0000 0.0000 1
Sb1 0.0000 0.0000 0.5000 1
N1 0.1952 0.2500 0.6250 1
# * E_tot: -5.2097 eV/atom